The following is a DFT calculation (meta-GGA SCAN) of Na3PS4 at its PBEsol-relaxed geometry.

Lattice parameters (Å, degrees): 6.883 6.883 7.023 90.00 90.00 90.00
Sites, in units of the cell vectors:
1 S 0.154 0.191 0.668
2 Na 0.500 0.000 0.075
3 S 0.691 0.654 0.168
4 Na 0.000 0.500 0.925
5 Na 0.000 0.000 0.000
6 S 0.846 0.809 0.668
7 Na 0.500 0.500 0.500
8 S 0.654 0.309 0.832
9 P 0.500 0.500 0.000
10 Na 0.000 0.500 0.425
11 P 0.000 0.000 0.500
12 S 0.191 0.846 0.332
13 S 0.809 0.154 0.332
14 S 0.346 0.691 0.832
15 Na 0.500 0.000 0.575
16 S 0.309 0.346 0.168

Output
Total magnetic moment   0.000 μB per atom
DOS at the Fermi energy   0.00 states/eV/cell


The following is a DFT calculation (meta-GGA SCAN) of NaSbPS2 at its PBEsol-relaxed geometry.

Lattice parameters (Å, degrees): 4.571 4.571 5.631 90.00 90.00 90.00
Sites, in units of the cell vectors:
1 Sb 0.000 0.000 0.500
2 P 0.500 0.500 0.500
3 S 0.000 0.500 0.000
4 S 0.500 0.000 0.000
5 Na 0.000 0.000 0.000

Output
Total magnetic moment   0.000 μB per atom
DOS at the Fermi energy   3.94 states/eV/cell
Energy above the lowest structure with this stoichiometry   980.2 meV per atom


The following is a DFT calculation (meta-GGA SCAN) of NaSbPS2 at its PBEsol-relaxed geometry.

Lattice parameters (Å, degrees): 5.085 5.085 5.024 90.00 90.00 90.00
Site moments in Bohr magnetons follow the coordinates.
Sites, in units of the cell vectors:
1 Sb 0.000 0.000 0.000  -0.01
2 S 0.500 0.000 0.000  0.17
3 P 0.000 0.000 0.500  0.61
4 Na 0.500 0.500 0.500  0.00
5 S 0.000 0.500 0.000  0.17

Output
Total magnetic moment   0.371 μB per atom
DOS at the Fermi energy   2.51 states/eV/cell
Energy above the lowest structure with this stoichiometry   0.0 meV per atom


Formation energy (no corrections) values, unit eV/atom, following the record order: -1.058 1.191 0.211.